Entry 1:
A plane-wave DFT calculation with GGA-PBE was carried out for a relaxed CoGePb2Br crystal.

Lattice parameters (Å, degrees): 5.6623 5.1864 5.6623 90.00 90.00 90.00
Site moments in Bohr magnetons follow the coordinates.
Sites, in units of the cell vectors:
Br  0.0000  0.5000  0.0000  0.00
Pb  0.5000  0.0000  0.0000  -0.03
Pb  0.0000  0.0000  0.5000  -0.03
Co  0.5000  0.5000  0.5000  2.17
Ge  0.0000  0.0000  0.0000  0.01

Properties
Space-group type: P4/mmm, No. 123
VASP energy in eV per atom: -3.27
Formation energy (no corrections) in meV per atom: 897

***

Entry 2:
A plane-wave DFT calculation with GGA-PBE was carried out for a relaxed Sm3Zn6Pd5 crystal.

Lattice parameters (Å, degrees): 4.3246 9.4209 12.8315 90.00 90.00 90.00
Sites, in units of the cell vectors:
Sm  0.5000  0.7503  0.8083
Zn  0.0000  0.9833  0.1462
Pd  0.5000  0.2096  0.5000
Zn  0.5000  0.9686  0.0000
Pd  0.5000  0.4605  0.3851
Pd  0.0000  0.5395  0.1149
Pd  0.5000  0.1350  0.8374
Zn  0.5000  0.5541  0.0000
Sm  0.5000  0.7400  0.5000
Pd  0.0000  0.8650  0.6626
Sm  0.5000  0.7503  0.1917
Pd  0.5000  0.4605  0.6149
Sm  0.0000  0.2600  0.0000
Pd  0.0000  0.7904  0.0000
Zn  0.0000  0.5893  0.6805
Pd  0.0000  0.5395  0.8851
Zn  0.0000  0.9833  0.8538
Sm  0.0000  0.2497  0.3083
Zn  0.0000  0.0314  0.5000
Zn  0.5000  0.0167  0.3538
Zn  0.0000  0.5893  0.3195
Zn  0.5000  0.0167  0.6462
Sm  0.0000  0.2497  0.6917
Zn  0.5000  0.4107  0.1805
Zn  0.0000  0.4459  0.5000
Pd  0.0000  0.8650  0.3374
Zn  0.5000  0.4107  0.8195
Pd  0.5000  0.1350  0.1626

Properties
Space-group type: Pmmn, No. 59
VASP energy in eV per atom: -4.05
Energy relative to the elements in meV/atom: -633.8

***

Entry 3:
A plane-wave DFT calculation with GGA-PBE was carried out for a relaxed RbCd2Os crystal.

Lattice parameters (Å, degrees): 5.7885 5.7885 9.8210 72.86 72.86 90.00
Site moments in Bohr magnetons follow the coordinates.
Sites, in units of the cell vectors:
Cd  0.8750  0.0982  0.7500  -0.01
Os  0.0000  0.0000  0.0000  0.96
Cd  0.3750  0.1518  0.7500  -0.01
Rb  0.2500  0.7500  0.5000  -0.01
Cd  0.8482  0.1250  0.2500  -0.02
Cd  0.9018  0.6250  0.2500  -0.02
Os  0.7500  0.2500  0.5000  0.95
Rb  0.5000  0.5000  0.0000  -0.01

Properties
Excess energy over the best structure of this formula in the dataset in meV per atom: 0
Space-group type: I-42d, No. 122
VASP energy in eV per atom: -2.57
Energy relative to the elements in meV/atom: 940.4

***

Entry 4:
A plane-wave DFT calculation with GGA-PBE was carried out for a relaxed Zr2Al2Se crystal.

Lattice parameters (Å, degrees): 7.0896 7.0896 4.1848 90.00 90.00 90.00
Sites, in units of the cell vectors:
Se  0.0000  0.0000  0.0000
Se  0.5000  0.5000  0.0000
Zr  0.8286  0.6714  0.0000
Zr  0.1714  0.3286  0.0000
Zr  0.3286  0.8286  0.0000
Al  0.6296  0.8704  0.5000
Al  0.1296  0.6296  0.5000
Al  0.8704  0.3704  0.5000
Zr  0.6714  0.1714  0.0000
Al  0.3704  0.1296  0.5000

Properties
Space-group type: P4/mbm, No. 127
VASP energy in eV per atom: -6.15
Formation energy (no corrections) in meV per atom: -538

***

Entry 5:
A plane-wave DFT calculation with GGA-PBE was carried out for a relaxed Tb2Sm4DyTh crystal.

Lattice parameters (Å, degrees): 6.0192 6.0161 9.4361 50.41 90.00 90.00
Sites, in units of the cell vectors:
Sm  0.0000  0.2524  0.2476
Sm  0.5000  0.7513  0.2483
Tb  0.5000  0.0000  0.5000
Sm  0.0000  0.7476  0.7524
Sm  0.5000  0.2487  0.7517
Dy  0.0000  0.5000  0.5000
Tb  0.0000  0.0000  0.0000
Th  0.5000  0.5000  0.0000

Properties
Space-group type: P4/mmm, No. 123
VASP energy in eV per atom: -4.88
Energy relative to the elements in meV/atom: 137.3

***

Entry 6:
A plane-wave DFT calculation with GGA-PBE was carried out for a relaxed Li2AcCuPd4 crystal.

Lattice parameters (Å, degrees): 4.3128 4.3128 9.0116 76.16 76.16 60.00
Sites, in units of the cell vectors:
Li  0.2284  0.2284  0.3148
Pd  0.4020  0.4020  0.7939
Pd  0.5980  0.5980  0.2061
Ac  0.0000  0.0000  0.0000
Cu  0.5000  0.5000  0.5000
Pd  0.8708  0.8708  0.3876
Pd  0.1292  0.1292  0.6124
Li  0.7716  0.7716  0.6852

Properties
Space-group type: R-3m, No. 166
VASP energy in eV per atom: -4.59
Energy relative to the elements in meV/atom: -488.5

***

Entry 7:
A plane-wave DFT calculation with GGA-PBE was carried out for a relaxed AlGa3Pt12 crystal.

Lattice parameters (Å, degrees): 3.9402 3.9402 15.7403 90.00 90.00 90.00
Sites, in units of the cell vectors:
Pt  0.5000  0.5000  0.0000
Al  0.0000  0.0000  0.0000
Pt  0.5000  0.0000  0.1229
Pt  0.0000  0.5000  0.3747
Pt  0.5000  0.0000  0.8771
Pt  0.5000  0.0000  0.6253
Pt  0.0000  0.5000  0.6253
Ga  0.0000  0.0000  0.7498
Pt  0.5000  0.0000  0.3747
Ga  0.0000  0.0000  0.2502
Ga  0.0000  0.0000  0.5000
Pt  0.5000  0.5000  0.2489
Pt  0.5000  0.5000  0.7511
Pt  0.5000  0.5000  0.5000
Pt  0.0000  0.5000  0.1229
Pt  0.0000  0.5000  0.8771

Properties
Space-group type: P4/mmm, No. 123
VASP energy in eV per atom: -5.84
Energy relative to the elements in meV/atom: -512.4

***

Entry 8:
A plane-wave DFT calculation with GGA-PBE was carried out for a relaxed La2CeCuSe5 crystal.

Lattice parameters (Å, degrees): 4.1394 9.0117 12.6981 90.00 90.00 103.28
Site moments in Bohr magnetons follow the coordinates.
Sites, in units of the cell vectors:
Se  0.3013  0.6027  0.6907  -0.01
Cu  0.5516  0.1031  0.9211  -0.01
Se  0.9840  0.9680  0.5132  -0.01
Cu  0.4484  0.8969  0.4211  -0.01
Se  0.6864  0.3729  0.8602  -0.01
Ce  0.1789  0.3578  0.0265  0.75
La  0.8857  0.7714  0.8480  0.00
La  0.1161  0.2322  0.6946  0.00
Se  0.3459  0.6919  0.0205  -0.01
Se  0.0160  0.0320  0.0132  -0.01
Se  0.3136  0.6271  0.3602  -0.01
Se  0.5064  0.0129  0.2491  0.00
La  0.8839  0.7678  0.1946  0.00
Se  0.4936  0.9871  0.7491  0.00
Se  0.6987  0.3973  0.1907  -0.01
Se  0.6541  0.3081  0.5205  -0.01
La  0.1143  0.2286  0.3480  0.00
Ce  0.8211  0.6422  0.5265  0.75

Properties
Space-group type: Cmc2_1, No. 36
VASP energy in eV per atom: -5.81
Formation energy (no corrections) in meV per atom: -1669

***

Entry 9:
A plane-wave DFT calculation with GGA-PBE was carried out for a relaxed CsLa4 crystal.

Lattice parameters (Å, degrees): 5.9835 5.9835 5.9835 90.00 90.00 90.00
Sites, in units of the cell vectors:
La  0.5000  0.5000  0.0000
Cs  0.5000  0.5000  0.5000
La  0.0000  0.5000  0.5000
La  0.0000  0.0000  0.0000
La  0.5000  0.0000  0.5000

Properties
Space-group type: Pm-3m, No. 221
VASP energy in eV per atom: -3.29
Energy relative to the elements in meV/atom: 821.6

***

Entry 10:
A plane-wave DFT calculation with GGA-PBE was carried out for a relaxed Hf8BSe2 crystal.

Lattice parameters (Å, degrees): 6.1093 6.5916 6.5916 61.03 80.35 80.35
Sites, in units of the cell vectors:
Hf  0.2941  0.0954  0.0954
Hf  0.2343  0.5626  0.5626
Hf  0.7059  0.9046  0.9046
Hf  0.8419  0.3811  0.9175
Hf  0.1581  0.6189  0.0825
B  0.0000  0.0000  0.0000
Hf  0.8419  0.9175  0.3811
Se  0.5007  0.7214  0.7214
Se  0.4993  0.2786  0.2786
Hf  0.1581  0.0825  0.6189
Hf  0.7657  0.4374  0.4374

Properties
Space-group type: C2/m, No. 12
VASP energy in eV per atom: -8.83
Formation energy (no corrections) in meV per atom: -346

***

Entry 11:
A plane-wave DFT calculation with GGA-PBE was carried out for a relaxed Ac2AlPd2 crystal.

Lattice parameters (Å, degrees): 6.2658 7.5360 7.6585 119.47 114.15 90.00
Sites, in units of the cell vectors:
Al  0.2500  0.5000  0.0000
Pd  0.1027  0.8323  0.2055
Ac  0.8535  0.6860  0.7069
Pd  0.6027  0.3732  0.2055
Al  0.7500  0.5000  0.0000
Pd  0.3973  0.6268  0.7945
Ac  0.1465  0.3140  0.2931
Ac  0.3535  0.0209  0.7069
Pd  0.8973  0.1677  0.7945
Ac  0.6465  0.9791  0.2931

Properties
Excess energy over the best structure of this formula in the dataset in meV per atom: 69
Space-group type: Ibam, No. 72
VASP energy in eV per atom: -5.15
Energy relative to the elements in meV/atom: -682.4

***

Entry 12:
A plane-wave DFT calculation with GGA-PBE was carried out for a relaxed Tm2MgOs crystal.

Lattice parameters (Å, degrees): 3.6268 4.8511 4.8511 90.00 90.00 90.00
Sites, in units of the cell vectors:
Tm  0.0000  0.5000  0.0000
Mg  0.5000  0.0000  0.0000
Tm  0.0000  0.0000  0.5000
Os  0.5000  0.5000  0.5000

Properties
Excess energy over the best structure of this formula in the dataset in meV per atom: 154
Space-group type: P4/mmm, No. 123
VASP energy in eV per atom: -5.55
Energy relative to the elements in meV/atom: -105.2